# SiBr | Alexandria via LeMat-Bulk | GGA-PBE | relaxed
data_SiBr
_symmetry_space_group_name_H-M 'P 63 m c'
_symmetry_Int_Tables_number 186
_symmetry_space_group_name_Hall 'P 6c -2c'
_cell_length_a 3.3322
_cell_length_b 3.3322
_cell_length_c 10.2822
_cell_angle_alpha 90.00
_cell_angle_beta 90.00
_cell_angle_gamma 120.00
loop_
_atom_site_label
_atom_site_type_symbol
_atom_site_fract_x
_atom_site_fract_y
_atom_site_fract_z
Si1 Si 0.3333 0.6667 0.0000
Br1 Br 0.3333 0.6667 0.3127
# Energy above the most stable polymorph in this dataset ... 937 meV per atom
# Formation energy without anion corrections ... 519 meV/atom
# Volume ... 49 Å³/f.u.



# SiBr | Alexandria via LeMat-Bulk | GGA-PBE | relaxed
data_SiBr
_symmetry_space_group_name_H-M 'P -3 m 1'
_symmetry_Int_Tables_number 164
_symmetry_space_group_name_Hall '-P 3 2"'
_cell_length_a 3.9727
_cell_length_b 3.9727
_cell_length_c 8.7163
_cell_angle_alpha 90.00
_cell_angle_beta 90.00
_cell_angle_gamma 120.00
loop_
_atom_site_label
_atom_site_type_symbol
_atom_site_fract_x
_atom_site_fract_y
_atom_site_fract_z
Si1 Si 0.3333 0.6667 0.4594
Br1 Br 0.3333 0.6667 0.2012
# Energy above the most stable polymorph in this dataset ... 0 meV per atom
# Formation energy without anion corrections ... -417 meV/atom
# Volume ... 60 Å³/f.u.



# Si3Br5 | Alexandria via LeMat-Bulk | GGA-PBE | relaxed
data_Si3Br5
_symmetry_space_group_name_H-M 'P 1 m 1'
_symmetry_Int_Tables_number 6
_cell_length_a 11.423
_cell_length_b 6.574
_cell_length_c 11.758
_cell_angle_alpha 90.00
_cell_angle_beta 113.80
_cell_angle_gamma 90.00
loop_
_symmetry_equiv_pos_as_xyz
'x,y,z'
'x,-y,z'
loop_
_atom_site_label
_atom_site_type_symbol
_atom_site_fract_x
_atom_site_fract_y
_atom_site_fract_z
Si1 Si 0.000 0.000 0.000
Si2 Si 0.018 0.500 0.971
Si3 Si 0.524 0.000 0.081
Si4 Si 0.579 0.500 0.137
Si5 Si 0.640 0.500 0.658
Si6 Si 0.668 0.000 0.640
Br1 Br 0.134 0.500 0.854
Br2 Br 0.352 0.000 0.894
Br3 Br 0.449 0.250 0.198
Br4 Br 0.494 0.500 0.743
Br5 Br 0.763 0.500 0.313
Br6 Br 0.781 0.000 0.519
Br7 Br 0.824 0.250 0.825
Br8 Br 0.919 0.000 0.147
# Energy above the most stable polymorph in this dataset ... 0 meV per atom
# Formation energy without anion corrections ... -97 meV/atom
# Volume ... 404 Å³/f.u.



# SiBr | Alexandria via LeMat-Bulk | GGA-PBE | relaxed
data_SiBr
_symmetry_space_group_name_H-M 'C 1 m 1'
_symmetry_Int_Tables_number 8
_cell_length_a 10.427
_cell_length_b 3.826
_cell_length_c 9.251
_cell_angle_alpha 90.00
_cell_angle_beta 93.77
_cell_angle_gamma 90.00
loop_
_symmetry_equiv_pos_as_xyz
'x,y,z'
'x,-y,z'
'x+1/2,y+1/2,z'
'x+1/2,-y+1/2,z'
loop_
_atom_site_label
_atom_site_type_symbol
_atom_site_fract_x
_atom_site_fract_y
_atom_site_fract_z
Si1 Si 0.000 0.000 0.000
Si2 Si 0.015 0.500 0.848
Si3 Si 0.238 0.000 0.090
Br1 Br 0.207 0.500 0.270
Br2 Br 0.235 0.500 0.816
Br3 Br 0.446 0.000 0.611
# Energy above the most stable polymorph in this dataset ... 404 meV per atom
# Formation energy without anion corrections ... -14 meV/atom
# Volume ... 61 Å³/f.u.



# Si2Br | Alexandria via LeMat-Bulk | GGA-PBE | relaxed
data_Si2Br
_symmetry_space_group_name_H-M 'P n n m'
_symmetry_Int_Tables_number 58
_cell_length_a 3.250
_cell_length_b 9.154
_cell_length_c 5.052
_cell_angle_alpha 90.00
_cell_angle_beta 90.00
_cell_angle_gamma 90.00
loop_
_symmetry_equiv_pos_as_xyz
'x,y,z'
'-x,-y,-z'
'-x,-y,z'
'x,y,-z'
'x+1/2,-y+1/2,-z+1/2'
'-x+1/2,y+1/2,z+1/2'
'-x+1/2,y+1/2,-z+1/2'
'x+1/2,-y+1/2,z+1/2'
loop_
_atom_site_label
_atom_site_type_symbol
_atom_site_fract_x
_atom_site_fract_y
_atom_site_fract_z
Si1 Si 0.227 0.105 0.000
Br1 Br 0.000 0.000 0.500
# Energy above the most stable polymorph in this dataset ... 976 meV per atom
# Formation energy without anion corrections ... 698 meV/atom
# Volume ... 75 Å³/f.u.



# Si4Br | Alexandria via LeMat-Bulk | GGA-PBE | relaxed
data_Si4Br
_symmetry_space_group_name_H-M 'P m -3 m'
_symmetry_Int_Tables_number 221
_symmetry_space_group_name_Hall '-P 4 2 3'
_cell_length_a 4.976
_cell_length_b 4.976
_cell_length_c 4.976
_cell_angle_alpha 90.00
_cell_angle_beta 90.00
_cell_angle_gamma 90.00
loop_
_atom_site_label
_atom_site_type_symbol
_atom_site_fract_x
_atom_site_fract_y
_atom_site_fract_z
Si1 Si 0.000 0.000 0.000
Si2 Si 0.000 0.500 0.500
Br1 Br 0.500 0.500 0.500
# Energy above the most stable polymorph in this dataset ... 330 meV per atom
# Formation energy without anion corrections ... 1624 meV/atom
# Volume ... 123 Å³/f.u.



# SiBr | Alexandria via LeMat-Bulk | GGA-PBE | relaxed
data_SiBr
_symmetry_space_group_name_H-M 'F -4 3 m'
_symmetry_Int_Tables_number 216
_symmetry_space_group_name_Hall 'F -4 2 3'
_cell_length_a 6.519
_cell_length_b 6.519
_cell_length_c 6.519
_cell_angle_alpha 90.00
_cell_angle_beta 90.00
_cell_angle_gamma 90.00
loop_
_atom_site_label
_atom_site_type_symbol
_atom_site_fract_x
_atom_site_fract_y
_atom_site_fract_z
Si1 Si 0.000 0.000 0.000
Br1 Br 0.250 0.250 0.250
# Energy above the most stable polymorph in this dataset ... 1300 meV per atom
# Formation energy without anion corrections ... 883 meV/atom
# Volume ... 69 Å³/f.u.



# SiBr | Alexandria via LeMat-Bulk | GGA-PBE | relaxed
data_SiBr
_symmetry_space_group_name_H-M 'P 1 21/m 1'
_symmetry_Int_Tables_number 11
_cell_length_a 3.576
_cell_length_b 3.575
_cell_length_c 8.517
_cell_angle_alpha 90.00
_cell_angle_beta 90.25
_cell_angle_gamma 90.00
loop_
_symmetry_equiv_pos_as_xyz
'x,y,z'
'-x,-y,-z'
'-x,y+1/2,-z'
'x,-y+1/2,z'
loop_
_atom_site_label
_atom_site_type_symbol
_atom_site_fract_x
_atom_site_fract_y
_atom_site_fract_z
Si1 Si 0.250 0.250 0.033
Br1 Br 0.253 0.250 0.297
# Energy above the most stable polymorph in this dataset ... 194 meV per atom
# Formation energy without anion corrections ... -224 meV/atom
# Volume ... 54 Å³/f.u.



> The lowest volume belongs to which entry?

number 1



Copy entry 4 word for word.
# SiBr | Alexandria via LeMat-Bulk | GGA-PBE | relaxed
data_SiBr
_symmetry_space_group_name_H-M 'C 1 m 1'
_symmetry_Int_Tables_number 8
_cell_length_a 10.427
_cell_length_b 3.826
_cell_length_c 9.251
_cell_angle_alpha 90.00
_cell_angle_beta 93.77
_cell_angle_gamma 90.00
loop_
_symmetry_equiv_pos_as_xyz
'x,y,z'
'x,-y,z'
'x+1/2,y+1/2,z'
'x+1/2,-y+1/2,z'
loop_
_atom_site_label
_atom_site_type_symbol
_atom_site_fract_x
_atom_site_fract_y
_atom_site_fract_z
Si1 Si 0.000 0.000 0.000
Si2 Si 0.015 0.500 0.848
Si3 Si 0.238 0.000 0.090
Br1 Br 0.207 0.500 0.270
Br2 Br 0.235 0.500 0.816
Br3 Br 0.446 0.000 0.611
# Energy above the most stable polymorph in this dataset ... 404 meV per atom
# Formation energy without anion corrections ... -14 meV/atom
# Volume ... 61 Å³/f.u.



> Among the records above, which one has the highest energy above the most stable polymorph in this dataset?

number 7